Record 1
NbCrOs | Alexandria via LeMat-Bulk | PBE-GGA | relaxed; ΔH_f (0 K) = 0.709 eV/atom
1.0
-2.3964 -1.2233 -0.7178
0.6746 -2.2228 1.5358
-2.0504 4.4014 4.7463
Cr Os Nb
1 1 1
Cartesian
-0.8266 0.7605 1.4638
-2.3416 -0.3608 3.0310
-3.5028 0.7075 5.0872

Record 2
Li2MnSi2 | Alexandria via LeMat-Bulk | PBE-GGA | relaxed; raw total energy = -4.6829 eV per atom
1.0
-2.1123 -1.3768 5.5403
5.6099 -1.5955 1.7424
0.6635 3.5808 1.1428
Mn Li Si
2 4 4
Cartesian
1.7488 -1.4862 3.6413
0.0000 0.0000 0.0000
0.5557 1.0657 2.7120
3.7165 0.4999 2.6498
0.4446 0.1085 5.7756
3.6053 -0.4573 5.7135
4.0420 -1.8491 3.4471
1.8223 -2.2066 5.8558
-0.5445 -1.1233 3.8356
1.6752 -0.7658 1.4268

Record 3
Pu6Cu | Alexandria via LeMat-Bulk | PBE-GGA | relaxed; ΔH_f (0 K) = 0.525 eV/atom
1.0
-0.6153 -5.7134 0.5542
5.3975 1.4986 1.3963
-3.7124 2.6850 3.5124
Pu Cu
6 1
Cartesian
-0.2394 1.3347 3.4710
-1.7426 -0.4683 3.2605
2.8124 -1.0615 2.2024
2.0381 1.0381 2.9420
1.3092 -2.8645 1.9919
-0.9683 -2.5679 2.5209
0.0000 0.0000 0.0000

Record 4
HoCoTcGe2 | Alexandria via LeMat-Bulk | PBE-GGA | relaxed; ΔH_f (0 K) = -0.485 eV/atom
1.0
-0.4901 -2.9427 2.8777
3.7090 -1.5721 -0.9759
0.5484 5.2320 2.4585
Ho Ge Co Tc
1 2 1 1
Cartesian
0.0000 0.0000 0.0000
1.6056 2.2133 2.5368
2.1617 -1.4961 1.8234
0.8339 0.0160 3.1435
2.9334 0.7013 1.2167

Record 5
Ce2MoP3 | Alexandria via LeMat-Bulk | PBE-GGA | relaxed; ΔH_f (0 K) = -0.990 eV/atom
1.0
-0.5058 3.1261 -4.6934
-8.0819 -0.0515 0.8366
2.5472 2.9236 5.0879
Ce P Mo
4 6 2
Cartesian
-0.1562 3.1757 -1.2965
-1.8454 2.8606 2.0908
-4.1951 3.1376 -0.8596
-5.8843 2.8225 2.5276
-6.1148 4.7824 0.4444
-3.9645 1.1762 1.2258
0.0743 1.2158 0.7867
-6.3211 1.5663 -1.7821
-2.2666 1.5083 -2.0747
-2.0760 4.8220 0.0053
-6.5383 2.9087 -3.7975
-2.0494 0.1659 -0.0592

Record 6
BaErPb | Alexandria via LeMat-Bulk | PBE-GGA | relaxed; ΔH_f (0 K) = -0.136 eV/atom
1.0
-0.5171 6.1027 1.9585
0.4262 -1.0984 3.5352
9.8423 0.5315 0.9425
Ba Er Pb
2 2 2
Cartesian
3.3912 1.3477 1.9738
6.3602 4.1882 4.4624
-0.2586 3.0514 0.9793
0.0000 0.0000 0.0000
7.0089 1.7537 1.6639
2.7424 3.7821 4.7724

Number 1: size of the total moment 0.0 Bohr magnetons per cell, DOS at the Fermi energy 2.6 states/eV/f.u.. Number 2: size of the total moment 0.0 Bohr magnetons per cell, DOS at the Fermi energy 5.1 states/eV/f.u.. Number 3: size of the total moment 0.0 Bohr magnetons per cell, DOS at the Fermi energy 13.4 states/eV/f.u.. Number 4: size of the total moment 0.0 Bohr magnetons per cell, DOS at the Fermi energy 4.4 states/eV/f.u.. Number 5: size of the total moment 0.0 Bohr magnetons per cell, DOS at the Fermi energy 7.1 states/eV/f.u.. Number 6: size of the total moment 0.0 Bohr magnetons per cell, DOS at the Fermi energy 3.1 states/eV/f.u..